DFT (GGA-PBE) results for an optimized crystal structure of Ce4Pt2I3.

Unit cell a=7.346 b=4.241 c=19.401 alpha=90.00 beta=90.05 gamma=90.00
Space group C2/m (No. 12)
Asymmetric unit:
Ce 0.001 0.000 0.287 x4
Ce 0.166 0.500 0.874 x4
Pt 0.167 0.500 0.204 x4
I 0.000 0.000 0.000 x2
I 0.166 0.500 0.600 x4

As for the total energy: -0.411 Ry/atom. The density of states at the Fermi level comes out at 48.6 states/eV/cell. The value obtained for the formation energy (no corrections) is -9.89 eV per formula unit.


DFT (GGA-PBE) results for an optimized crystal structure of AcTbSc2.

Unit cell a=3.993 b=3.993 c=7.737 alpha=90.00 beta=90.00 gamma=90.00
Space group P4/mmm (No. 123)
Asymmetric unit:
Ac 0.000 0.000 0.000 x1
Tb 0.000 0.000 0.500 x1
Sc 0.500 0.500 0.271 x2

The value obtained for the formation energy is 8.69 kJ/mol of atoms. The distance to the lowest polymorph of the same formula is 0.00 kJ/mol of atoms. As for the total energy: -0.387 Ry/atom. The density of states at the Fermi level comes out at 6.1 states/eV/cell.